[1]
This record from Alexandria describes an optimized crystal structure of Ag2OsBr. The functional is GGA-PBE.

Output
crystal system: trigonal
M_tot: 0.5 μB/f.u.
raw formation energy: 0.6630 eV per atom
energy relative to the lowest polymorph listed for this composition: 0.0 kJ/mol of atoms
energy: -3.9883 eV/atom
ρ: 11.0 g cm⁻³
D(E_F): 0.527 states/eV/atom

Structure (CIF):
```
data_Ag2OsBr
_chemical_formula_sum 'Ag6 Os3 Br3'
_cell_length_a 2.9346
_cell_length_b 2.9346
_cell_length_c 29.4203
_cell_angle_alpha 90.00
_cell_angle_beta 90.00
_cell_angle_gamma 120.00
_space_group_name_H-M_alt 'R -3 m'
_space_group_IT_number 166
_space_group_name_Hall '-R 3 2"'
loop_
_atom_site_label
_atom_site_type_symbol
_atom_site_fract_x
_atom_site_fract_y
_atom_site_fract_z
Ag1 Ag 0.0000 0.0000 0.2445
Os1 Os 0.0000 0.0000 0.5000
Br1 Br 0.0000 0.0000 0.0000
```

***

[2]
This record from Alexandria describes an optimized crystal structure of Tc2NiAsSe. The functional is GGA-PBE.

Output
crystal system: tetragonal
M_tot: 2.2 μB/f.u.
raw formation energy: 0.9663 eV per atom
energy: -5.9632 eV/atom
ρ: 7.4 g cm⁻³
D(E_F): 1.068 states/eV/atom

Structure (CIF):
```
data_Tc2NiAsSe
_chemical_formula_sum 'Tc2 Ni1 As1 Se1'
_cell_length_a 4.6408
_cell_length_b 4.6408
_cell_length_c 4.2473
_cell_angle_alpha 90.00
_cell_angle_beta 90.00
_cell_angle_gamma 90.00
_space_group_name_H-M_alt 'P 4/m m m'
_space_group_IT_number 123
_space_group_name_Hall '-P 4 2'
loop_
_atom_site_label
_atom_site_type_symbol
_atom_site_fract_x
_atom_site_fract_y
_atom_site_fract_z
Tc1 Tc 0.0000 0.5000 0.0000
Ni1 Ni 0.0000 0.0000 0.5000
As1 As 0.5000 0.5000 0.5000
Se1 Se 0.0000 0.0000 0.0000
```

***

[3]
This record from Alexandria describes an optimized crystal structure of BeAl2Tl. The functional is GGA-PBE.

Output
formation enthalpy at 0 K: 520 meV/atom
crystal system: tetragonal
M_tot: 0.0 μB/f.u.
energy relative to the lowest polymorph listed for this composition: 18.1 kJ/mol of atoms
energy: -2.8748 eV/atom
ρ: 6.1 g cm⁻³
D(E_F): 0.361 states/eV/atom

Structure (CIF):
```
data_BeAl2Tl
_chemical_formula_sum 'Be1 Al2 Tl1'
_cell_length_a 3.9373
_cell_length_b 3.9373
_cell_length_c 4.6980
_cell_angle_alpha 90.00
_cell_angle_beta 90.00
_cell_angle_gamma 90.00
_space_group_name_H-M_alt 'P 4/m m m'
_space_group_IT_number 123
_space_group_name_Hall '-P 4 2'
loop_
_atom_site_label
_atom_site_type_symbol
_atom_site_fract_x
_atom_site_fract_y
_atom_site_fract_z
Be1 Be 0.0000 0.0000 0.0000
Al1 Al 0.0000 0.5000 0.5000
Tl1 Tl 0.5000 0.5000 0.0000
```

***

[4]
This record from Alexandria describes an optimized crystal structure of CuPb3Se. The functional is GGA-PBE.

Output
crystal system: cubic
M_tot: 0.0 μB/f.u.
raw formation energy: 0.5985 eV per atom
energy relative to the lowest polymorph listed for this composition: 41.8 kJ/mol of atoms
energy: -3.1426 eV/atom
ρ: 6.9 g cm⁻³
D(E_F): 0.632 states/eV/atom

Structure (CIF):
```
data_CuPb3Se
_chemical_formula_sum 'Cu1 Pb3 Se1'
_cell_length_a 5.6976
_cell_length_b 5.6976
_cell_length_c 5.6976
_cell_angle_alpha 90.00
_cell_angle_beta 90.00
_cell_angle_gamma 90.00
_space_group_name_H-M_alt 'P m -3 m'
_space_group_IT_number 221
_space_group_name_Hall '-P 4 2 3'
loop_
_atom_site_label
_atom_site_type_symbol
_atom_site_fract_x
_atom_site_fract_y
_atom_site_fract_z
Cu1 Cu 0.0000 0.0000 0.0000
Pb1 Pb 0.0000 0.5000 0.5000
Se1 Se 0.5000 0.5000 0.5000
```

***

[5]
This record from Alexandria describes an optimized crystal structure of NaY2Cd4. The functional is GGA-PBE.

Output
formation enthalpy at 0 K: -64 meV/atom
crystal system: trigonal
M_tot: 0.0 μB/f.u.
energy: -2.6226 eV/atom
ρ: 6.1 g cm⁻³
D(E_F): 0.559 states/eV/atom

Structure (CIF):
```
data_NaY2Cd4
_chemical_formula_sum 'Na3 Y6 Cd12'
_cell_length_a 5.2631
_cell_length_b 5.2631
_cell_length_c 22.3257
_cell_angle_alpha 90.00
_cell_angle_beta 90.00
_cell_angle_gamma 120.00
_space_group_name_H-M_alt 'R -3 m'
_space_group_IT_number 166
_space_group_name_Hall '-R 3 2"'
loop_
_atom_site_label
_atom_site_type_symbol
_atom_site_fract_x
_atom_site_fract_y
_atom_site_fract_z
Na1 Na 0.0000 0.0000 0.0000
Y1 Y 0.0000 0.0000 0.2748
Cd1 Cd 0.0000 0.0000 0.1311
Cd2 Cd 0.0000 0.0000 0.4233
```

***

[6]
This record from Alexandria describes an optimized crystal structure of NbInBr5. The functional is GGA-PBE.

Output
crystal system: monoclinic
M_tot: 1.0 μB/f.u.
raw formation energy: -0.7585 eV per atom
energy: -3.7832 eV/atom
ρ: 3.6 g cm⁻³
D(E_F): 0.743 states/eV/atom

Structure (CIF):
```
data_NbInBr5
_chemical_formula_sum 'Nb4 In4 Br20'
_cell_length_a 15.3964
_cell_length_b 7.8905
_cell_length_c 9.9965
_cell_angle_alpha 90.00
_cell_angle_beta 110.75
_cell_angle_gamma 90.00
_space_group_name_H-M_alt 'C 1 2/c 1'
_space_group_IT_number 15
loop_
_space_group_symop_operation_xyz
'x,y,z'
'-x,-y,-z'
'-x,y,-z+1/2'
'x,-y,z+1/2'
'x+1/2,y+1/2,z'
'-x+1/2,-y+1/2,-z'
'-x+1/2,y+1/2,-z+1/2'
'x+1/2,-y+1/2,z+1/2'
loop_
_atom_site_label
_atom_site_type_symbol
_atom_site_fract_x
_atom_site_fract_y
_atom_site_fract_z
Nb1 Nb 0.0000 0.0000 0.0000
In1 In 0.0000 0.4288 0.2500
Br1 Br 0.0000 0.1186 0.7500
Br2 Br 0.1249 0.2220 0.5127
Br3 Br 0.1266 0.2189 0.1248
```

***

[7]
This record from Alexandria describes an optimized crystal structure of Tb3Pm2Y6Sc. The functional is GGA-PBE.

Output
formation enthalpy at 0 K: 27 meV/atom
crystal system: monoclinic
M_tot: 0.0 μB/f.u.
energy: -5.6818 eV/atom
ρ: 5.9 g cm⁻³
D(E_F): 1.382 states/eV/atom

Structure (CIF):
```
data_Tb3Pm2Y6Sc
_chemical_formula_sum 'Tb6 Pm4 Y12 Sc2'
_cell_length_a 6.1573
_cell_length_b 10.6594
_cell_length_c 11.7946
_cell_angle_alpha 90.00
_cell_angle_beta 99.98
_cell_angle_gamma 90.00
_space_group_name_H-M_alt 'C 1 2/m 1'
_space_group_IT_number 12
loop_
_space_group_symop_operation_xyz
'x,y,z'
'-x,-y,-z'
'-x,y,-z'
'x,-y,z'
'x+1/2,y+1/2,z'
'-x+1/2,-y+1/2,-z'
'-x+1/2,y+1/2,-z'
'x+1/2,-y+1/2,z'
loop_
_atom_site_label
_atom_site_type_symbol
_atom_site_fract_x
_atom_site_fract_y
_atom_site_fract_z
Tb1 Tb 0.0000 0.0000 0.0000
Tb2 Tb 0.0000 0.3336 0.0000
Pm1 Pm 0.0000 0.1664 0.5000
Y1 Y 0.2478 0.3348 0.7492
Y2 Y 0.2477 0.5000 0.2503
Sc1 Sc 0.0000 0.5000 0.5000
```

***

[8]
This record from Alexandria describes an optimized crystal structure of Tb2PaWN6. The functional is GGA-PBE.

Output
crystal system: trigonal
M_tot: 0.0 μB/f.u.
raw formation energy: -1.0701 eV per atom
energy: -9.2363 eV/atom
ρ: 9.7 g cm⁻³
D(E_F): 0.745 states/eV/atom

Structure (CIF):
```
data_Tb2PaWN6
_chemical_formula_sum 'Tb6 Pa3 W3 N18'
_cell_length_a 5.7855
_cell_length_b 5.7855
_cell_length_c 14.4553
_cell_angle_alpha 90.00
_cell_angle_beta 90.00
_cell_angle_gamma 120.00
_space_group_name_H-M_alt 'R 3'
_space_group_IT_number 146
_space_group_name_Hall 'R 3'
loop_
_atom_site_label
_atom_site_type_symbol
_atom_site_fract_x
_atom_site_fract_y
_atom_site_fract_z
Tb1 Tb 0.0000 0.0000 0.0000
Tb2 Tb 0.0000 0.0000 0.4954
Pa1 Pa 0.0000 0.0000 0.7670
W1 W 0.0000 0.0000 0.2660
N1 N 0.0374 0.6251 0.0359
N2 N 0.0758 0.3387 0.8722
```

***

[9]
This record from Alexandria describes an optimized crystal structure of GeH2Au. The functional is GGA-PBE.

Output
crystal system: cubic
M_tot: 0.0 μB/f.u.
energy relative to the lowest polymorph listed for this composition: 26.1 kJ/mol of atoms
energy: -2.9041 eV/atom
ρ: 9.8 g cm⁻³
D(E_F): 0.193 states/eV/atom

Structure (CIF):
```
data_GeH2Au
_chemical_formula_sum 'Ge4 H8 Au4'
_cell_length_a 5.6945
_cell_length_b 5.6945
_cell_length_c 5.6945
_cell_angle_alpha 90.00
_cell_angle_beta 90.00
_cell_angle_gamma 90.00
_space_group_name_H-M_alt 'F m -3 m'
_space_group_IT_number 225
_space_group_name_Hall '-F 4 2 3'
loop_
_atom_site_label
_atom_site_type_symbol
_atom_site_fract_x
_atom_site_fract_y
_atom_site_fract_z
Ge1 Ge 0.0000 0.0000 0.0000
H1 H 0.2500 0.2500 0.2500
Au1 Au 0.0000 0.0000 0.5000
```

***

[10]
This record from Alexandria describes an optimized crystal structure of LaAl3Rh. The functional is GGA-PBE.

Output
formation enthalpy at 0 K: -642 meV/atom
crystal system: hexagonal
M_tot: 0.0 μB/f.u.
energy relative to the lowest polymorph listed for this composition: 0.0 kJ/mol of atoms
energy: -5.3429 eV/atom
ρ: 5.4 g cm⁻³
D(E_F): 0.850 states/eV/atom

Structure (CIF):
```
data_LaAl3Rh
_chemical_formula_sum 'La2 Al6 Rh2'
_cell_length_a 6.3489
_cell_length_b 6.3489
_cell_length_c 5.7109
_cell_angle_alpha 90.00
_cell_angle_beta 90.00
_cell_angle_gamma 120.00
_space_group_name_H-M_alt 'P 63/m m c'
_space_group_IT_number 194
_space_group_name_Hall '-P 6c 2c'
loop_
_atom_site_label
_atom_site_type_symbol
_atom_site_fract_x
_atom_site_fract_y
_atom_site_fract_z
La1 La 0.3333 0.6667 0.2500
Al1 Al 0.1873 0.3746 0.7500
Rh1 Rh 0.0000 0.0000 0.0000
```

***

[11]
This record from Alexandria describes an optimized crystal structure of Dy3Te2N. The functional is GGA-PBE.

Output
crystal system: orthorhombic
M_tot: 0.0 μB/f.u.
raw formation energy: -1.1940 eV per atom
energy: -5.9299 eV/atom
ρ: 7.1 g cm⁻³
D(E_F): 0.780 states/eV/atom

Structure (CIF):
```
data_Dy3Te2N
_chemical_formula_sum 'Dy12 Te8 N4'
_cell_length_a 14.1646
_cell_length_b 8.3537
_cell_length_c 5.9942
_cell_angle_alpha 90.00
_cell_angle_beta 90.00
_cell_angle_gamma 90.00
_space_group_name_H-M_alt 'C m c 21'
_space_group_IT_number 36
loop_
_space_group_symop_operation_xyz
'x,y,z'
'-x,-y,z+1/2'
'-x,y,z'
'x,-y,z+1/2'
'x+1/2,y+1/2,z'
'-x+1/2,-y+1/2,z+1/2'
'-x+1/2,y+1/2,z'
'x+1/2,-y+1/2,z+1/2'
loop_
_atom_site_label
_atom_site_type_symbol
_atom_site_fract_x
_atom_site_fract_y
_atom_site_fract_z
Dy1 Dy 0.0000 0.1063 0.0000
Dy2 Dy 0.1394 0.2632 0.4544
Te1 Te 0.1537 0.3600 0.9557
N1 N 0.0000 0.1502 0.4090
```

***

[12]
This record from Alexandria describes an optimized crystal structure of KPuO4. The functional is GGA-PBE.

Output
crystal system: monoclinic
M_tot: 1.0 μB/f.u.
raw formation energy: -2.2799 eV per atom
energy relative to the lowest polymorph listed for this composition: 0.0 kJ/mol of atoms
energy: -8.1570 eV/atom
ρ: 5.5 g cm⁻³

Structure (CIF):
```
data_KPuO4
_chemical_formula_sum 'K4 Pu4 O16'
_cell_length_a 12.7459
_cell_length_b 5.5796
_cell_length_c 6.0346
_cell_angle_alpha 90.00
_cell_angle_beta 104.54
_cell_angle_gamma 90.00
_space_group_name_H-M_alt 'C 1 2/c 1'
_space_group_IT_number 15
loop_
_space_group_symop_operation_xyz
'x,y,z'
'-x,-y,-z'
'-x,y,-z+1/2'
'x,-y,z+1/2'
'x+1/2,y+1/2,z'
'-x+1/2,-y+1/2,-z'
'-x+1/2,y+1/2,-z+1/2'
'x+1/2,-y+1/2,z+1/2'
loop_
_atom_site_label
_atom_site_type_symbol
_atom_site_fract_x
_atom_site_fract_y
_atom_site_fract_z
K1 K 0.0000 0.2261 0.2500
Pu1 Pu 0.2500 0.2500 0.0000
O1 O 0.1118 0.3724 0.9240
O2 O 0.1999 0.0109 0.1931
```